(1)
! LiZnRh SCAN PBEsol geometry; values from VASP
&SYSTEM
  ibrav = 0, nat = 3, ntyp = 3
/
ATOMIC_SPECIES
Li 6.94 Li.upf
Zn 65.41 Zn.upf
Rh 102.91 Rh.upf
CELL_PARAMETERS angstrom
4.095 0.000 0.000
-2.048 3.547 0.000
0.000 0.000 2.647
ATOMIC_POSITIONS crystal
Li 0.000 0.000 0.000
Zn 0.667 0.333 0.239
Rh 0.333 0.667 0.650
! **E above lowest polymorph**: 25.2 meV per atom
! **Symmetry**: P3m1, No. 156
! **Energy relative to the elements**: -277 meV/atom

(2)
! ZrSe2BrN SCAN PBEsol geometry; values from VASP
&SYSTEM
  ibrav = 0, nat = 5, ntyp = 4
/
ATOMIC_SPECIES
Zr 91.22 Zr.upf
Se 78.96 Se.upf
Br 79.90 Br.upf
N 14.01 N.upf
CELL_PARAMETERS angstrom
4.488 0.000 0.000
0.000 4.488 0.000
0.000 0.000 4.286
ATOMIC_POSITIONS crystal
Zr 0.000 0.000 0.000
Se 0.000 0.500 0.500
Se 0.500 0.000 0.500
Br 0.500 0.500 0.000
N 0.500 0.500 0.500
! **E above lowest polymorph**: 283.5 meV per atom
! **Symmetry**: P4/mmm, No. 123
! **Uncorrected formation energy**: 455 meV/atom

(3)
! ZrMo2P SCAN PBEsol geometry; values from VASP
&SYSTEM
  ibrav = 0, nat = 4, ntyp = 3
/
ATOMIC_SPECIES
Zr 91.22 Zr.upf
Mo 95.94 Mo.upf
P 30.97 P.upf
CELL_PARAMETERS angstrom
2.716 -4.612 0.000
2.716 4.612 0.000
-1.636 0.000 2.545
ATOMIC_POSITIONS crystal
Zr 0.000 0.000 0.000
Mo 0.000 0.500 0.500
Mo 0.500 0.000 0.500
P 0.500 0.500 0.000
! **Symmetry**: C2/m, No. 12
! **Energy relative to the elements**: 3 meV/atom

(4)
! SrCuBi2O SCAN PBEsol geometry; values from VASP
&SYSTEM
  ibrav = 0, nat = 5, ntyp = 4
/
ATOMIC_SPECIES
Sr 87.62 Sr.upf
Cu 63.55 Cu.upf
Bi 208.98 Bi.upf
O 16.00 O.upf
CELL_PARAMETERS angstrom
4.882 0.000 0.000
0.000 4.882 0.000
0.000 0.000 4.808
ATOMIC_POSITIONS crystal
Sr 0.000 0.000 0.000
Cu 0.500 0.500 0.000
Bi 0.000 0.500 0.500
Bi 0.500 0.000 0.500
O 0.000 0.000 0.500
! **Symmetry**: P4/mmm, No. 123
! **Uncorrected formation energy**: -412 meV/atom